Entry 1:
Here is a relaxed structure of Ca2HgBiH from Alexandria via LeMat-Bulk. Energies are from GGA-PBE.

Properties
Electronic total energy in eV per atom: -2.8143

a b c (Å): 5.1061 5.1061 4.5310
angles (deg): 90.00 90.00 90.00
With the nearest neighbours (Å) after each atom.
Element x y z (fractional)
Ca 0.0000 0.5000 0.0000  2 H 2.55
Ca 0.5000 0.0000 0.0000  2 H 2.55
Hg 0.0000 0.0000 0.5000  2 H 2.27
Bi 0.5000 0.5000 0.5000  8 Ca 3.41, 4 Hg 3.61
H 0.0000 0.0000 0.0000  2 Hg 2.27


Entry 2:
Here is a relaxed structure of CaInBiH from Alexandria via LeMat-Bulk. Energies are from GGA-PBE.

Properties
Electronic total energy in eV per atom: -3.2549

a b c (Å): 4.4520 4.4520 9.6377
angles (deg): 90.00 90.00 90.00
With the nearest neighbours (Å) after each atom.
Element x y z (fractional)
Ca 0.2500 0.2500 0.1108  4 H 2.47
Ca 0.7500 0.7500 0.8892  4 H 2.47
In 0.2500 0.7500 0.5000  4 In 3.15, 4 Bi 3.23
In 0.7500 0.2500 0.5000  4 In 3.15, 4 Bi 3.23
Bi 0.2500 0.2500 0.7436  4 In 3.23, 4 H 3.33, 5 Ca 3.45-3.54
Bi 0.7500 0.7500 0.2564  4 In 3.23, 4 H 3.33, 5 Ca 3.45-3.54
H 0.2500 0.7500 0.0000  4 Ca 2.47
H 0.7500 0.2500 0.0000  4 Ca 2.47


Entry 3:
Here is a relaxed structure of CaIn2BiH from Alexandria via LeMat-Bulk. Energies are from GGA-PBE.

Properties
Electronic total energy in eV per atom: -3.1335

a b c (Å): 4.9671 4.9671 4.8105
angles (deg): 90.00 90.00 90.00
With the nearest neighbours (Å) after each atom.
Element x y z (fractional)
Ca 0.0000 0.0000 0.0000  2 H 2.41
In 0.0000 0.5000 0.5000  2 H 2.48
In 0.5000 0.0000 0.5000  2 H 2.48
Bi 0.5000 0.5000 0.0000  8 In 3.46, 4 Ca 3.51
H 0.0000 0.0000 0.5000  2 Ca 2.41, 4 In 2.48


Entry 4:
Here is a relaxed structure of CaBiH6Ir2 from Alexandria via LeMat-Bulk. Energies are from GGA-PBE.

Properties
Electronic total energy in eV per atom: -4.4951

a b c (Å): 6.3589 6.3589 5.7470
angles (deg): 99.85 99.85 99.03
With the nearest neighbours (Å) after each atom.
Element x y z (fractional)
Ca 0.1461 0.8539 0.7500  10 H 2.45-2.59
Ca 0.8539 0.1461 0.2500  10 H 2.45-2.59
Bi 0.3680 0.6320 0.2500  6 H 2.43-2.62
Bi 0.6320 0.3680 0.7500  6 H 2.43-2.62
H 0.0277 0.5543 0.3985  1 H 1.52, 1 Ir 1.61
H 0.1723 0.1797 0.5711  1 Ir 1.79
H 0.1797 0.1723 0.0711  1 Ir 1.79
H 0.2766 0.5112 0.8133  1 Ir 1.64
H 0.4457 0.9723 0.1015  1 H 1.52, 1 Ir 1.61
H 0.4888 0.7234 0.6867  1 Ir 1.64
H 0.5112 0.2766 0.3133  1 Ir 1.64
H 0.5543 0.0277 0.8985  1 H 1.52, 1 Ir 1.61
H 0.7234 0.4888 0.1867  1 Ir 1.64
H 0.8203 0.8277 0.9289  1 Ir 1.79
H 0.8277 0.8203 0.4289  1 Ir 1.79
H 0.9723 0.4457 0.6015  1 H 1.52, 1 Ir 1.61
Ir 0.0667 0.3228 0.8081  3 H 1.61-1.79
Ir 0.3228 0.0667 0.3081  3 H 1.61-1.79
Ir 0.6772 0.9333 0.6919  3 H 1.61-1.79
Ir 0.9333 0.6772 0.1919  3 H 1.61-1.79


Entry 5:
Here is a relaxed structure of KCa2BiH from Alexandria via LeMat-Bulk. Energies are from GGA-PBE.

Properties
Electronic total energy in eV per atom: -2.8598

a b c (Å): 5.1475 5.1475 5.1397
angles (deg): 90.00 90.00 90.00
With the nearest neighbours (Å) after each atom.
Element x y z (fractional)
K 0.0000 0.0000 0.0000  2 H 2.57
Ca 0.0000 0.5000 0.5000  2 H 2.57
Ca 0.5000 0.0000 0.5000  2 H 2.57
Bi 0.5000 0.5000 0.0000  8 Ca 3.64, 4 K 3.64
H 0.0000 0.0000 0.5000  2 K 2.57, 4 Ca 2.57


Entry 6:
Here is a relaxed structure of Ca2LaBiH from Alexandria via LeMat-Bulk. Energies are from GGA-PBE.

Properties
Electronic total energy in eV per atom: -3.7067

a b c (Å): 5.0972 5.0972 4.9696
angles (deg): 90.00 90.00 90.00
With the nearest neighbours (Å) after each atom.
Element x y z (fractional)
Ca 0.0000 0.5000 0.0000  2 H 2.55
Ca 0.5000 0.0000 0.0000  2 H 2.55
La 0.0000 0.0000 0.5000  2 H 2.48
Bi 0.5000 0.5000 0.5000  8 Ca 3.56, 4 La 3.60
H 0.0000 0.0000 0.0000  2 La 2.48, 4 Ca 2.55